# Th2Ni6P3 PBE relaxed
# - volume (Å³/cell) = 166.5
# - electronic total energy (eV per atom) = -6.7989
data_Th2Ni6P3
_symmetry_space_group_name_H-M 'P -6 2 m'
_symmetry_Int_Tables_number 189
_symmetry_space_group_name_Hall 'P -6 -2'
_cell_length_a 6.9454
_cell_length_b 6.9454
_cell_length_c 3.9850
_cell_angle_alpha 90.00
_cell_angle_beta 90.00
_cell_angle_gamma 120.00
loop_
_atom_site_label
_atom_site_type_symbol
_atom_site_fract_x
_atom_site_fract_y
_atom_site_fract_z
_atom_site_occupancy
Th1 Th 0.3333 0.6667 0.0000 1
Ni1 Ni 0.0000 0.2005 0.0000 1
Ni2 Ni 0.0000 0.6885 0.5000 1
P1 P 0.0000 0.3502 0.5000 1